A plane-wave DFT calculation with SCAN was carried out for a crystal of Sc4SeBr relaxed with PBEsol.

Unit cell a=5.8264 b=5.8264 c=5.8264 alpha=60.00 beta=60.00 gamma=60.00
Sites, in units of the cell vectors:
Sc1 0.3757 0.3757 0.3757
Sc2 0.3757 0.3757 0.8728
Sc3 0.3757 0.8728 0.3757
Sc4 0.8728 0.3757 0.3757
Se1 0.7500 0.7500 0.7500
Br1 0.0000 0.0000 0.0000

VASP energy = -15.99 eV per atom
magnetic moment = 0.00 μB per cell